Entry 1:
Here is an optimized crystal structure of Cd2SeF2 from Alexandria via LeMat-Bulk. Energies are from GGA-PBE.

Unit cell a=7.520 b=7.520 c=6.978 alpha=117.63 beta=117.63 gamma=31.11
Positions (direct):
Cd: 0.122 0.624 0.956
Cd: 0.376 0.878 0.544
Cd: 0.624 0.122 0.456
Cd: 0.878 0.376 0.044
Se: 0.248 0.752 0.750
Se: 0.752 0.248 0.250
F: 0.061 0.554 0.224
F: 0.446 0.939 0.276
F: 0.554 0.061 0.724
F: 0.939 0.446 0.776

## Properties
VASP energy: -16.6 eV per formula unit
SG: No. 15

***

Entry 2:
Here is an optimized crystal structure of CdSe2F from Alexandria via LeMat-Bulk. Energies are from GGA-PBE.

Unit cell a=11.466 b=11.466 c=11.466 alpha=161.07 beta=161.07 gamma=26.90
Positions (direct):
Cd: 0.000 0.000 0.000
Cd: 0.750 0.250 0.500
Se: 0.123 0.625 0.998
Se: 0.375 0.373 0.498
Se: 0.627 0.125 0.002
Se: 0.875 0.877 0.502
F: 0.250 0.750 0.500
F: 0.500 0.500 0.000

## Properties
energy relative to the lowest polymorph listed for this composition: 0 meV per atom
SG: No. 122

***

Entry 3:
Here is an optimized crystal structure of CdSeF3 from Alexandria via LeMat-Bulk. Energies are from GGA-PBE.

Unit cell a=4.295 b=4.295 c=4.295 alpha=90.00 beta=90.00 gamma=90.00
Positions (direct):
Cd: 0.000 0.000 0.000
Se: 0.500 0.500 0.500
F: 0.000 0.500 0.500
F: 0.500 0.000 0.500
F: 0.500 0.500 0.000

## Properties
energy relative to the lowest polymorph listed for this composition: 346 meV per atom
SG: No. 221

***

Entry 4:
Here is an optimized crystal structure of CdSe2F from Alexandria via LeMat-Bulk. Energies are from GGA-PBE.

Unit cell a=7.273 b=7.273 c=7.273 alpha=34.31 beta=34.31 gamma=34.31
Positions (direct):
Cd: 0.000 0.000 0.000
Se: 0.397 0.397 0.397
Se: 0.603 0.603 0.603
F: 0.500 0.500 0.500

## Properties
energy relative to the lowest polymorph listed for this composition: 225 meV per atom
SG: No. 166

***

It is found that the total magnetic moment values, taken in the order of the records, are 0.0 0.0 0.2 0.0 μB per formula unit.